i | {"formula": "RbCd2I2", "functional": "GGA-PBE", "state": "optimized geometry", "dos_ef_per_ev_fu": 0.7, "m_tot_mub_per_cell": 0.00, "crystal_system": "tetragonal", "spacegroup": "P4/mbm, No. 127", "lattice_angstrom": [[9.939, 0.000, 0.000], [0.000, 9.939, 0.000], [0.000, 0.000, 5.785]], "species": ["I", "I", "I", "I", "Cd", "Cd", "Cd", "Cd", "Rb", "Rb"], "frac_coords": [[0.690, 0.810, 0.000], [0.190, 0.690, 0.000], [0.310, 0.190, 0.000], [0.810, 0.310, 0.000], [0.601, 0.899, 0.500], [0.101, 0.601, 0.500], [0.399, 0.101, 0.500], [0.899, 0.399, 0.500], [0.500, 0.500, 0.000], [0.000, 0.000, 0.000]]}

***

ii | {"formula": "RbCd2I2", "functional": "GGA-PBE", "state": "optimized geometry", "dos_ef_per_ev_fu": 1.7, "m_tot_mub_per_cell": 0.00, "crystal_system": "tetragonal", "spacegroup": "I4/mmm, No. 139", "lattice_angstrom": [[-0.031, -5.596, -2.798], [5.778, 1.047, -2.158], [4.871, -4.435, 1.823]], "species": ["I", "I", "Rb", "Cd", "Cd"], "frac_coords": [[0.250, 0.750, 0.500], [0.750, 0.250, 0.500], [0.000, 0.000, 0.000], [0.636, 0.636, 0.729], [0.364, 0.364, 0.271]]}

***

iii | {"formula": "RbCd2I2", "functional": "GGA-PBE", "state": "optimized geometry", "dos_ef_per_ev_fu": 2.1, "m_tot_mub_per_cell": 0.00, "crystal_system": "tetragonal", "spacegroup": "I4/mmm, No. 139", "lattice_angstrom": [[-0.970, -0.013, 4.209], [1.782, -3.915, 0.399], [9.357, 2.323, 4.380]], "species": ["Cd", "Cd", "I", "I", "Rb"], "frac_coords": [[0.750, 0.250, 0.500], [0.250, 0.750, 0.500], [0.608, 0.608, 0.784], [0.392, 0.392, 0.216], [0.000, 0.000, 0.000]]}

***

Going by the energies, iii is most stable and the next is 0.016 eV/atom up.

***

i | {"formula": "Rb2CdI4", "functional": "GGA-PBE", "state": "optimized geometry", "dos_ef_per_ev_fu": 0.0, "m_tot_mub_per_cell": 0.00, "crystal_system": "monoclinic", "spacegroup": "P2_1/m, No. 11", "lattice_angstrom": [[-1.306, -8.192, -1.620], [6.487, -2.024, 5.006], [-5.558, 2.515, 8.220]], "species": ["I", "I", "I", "I", "I", "I", "I", "I", "Cd", "Cd", "Rb", "Rb", "Rb", "Rb"], "frac_coords": [[0.500, 0.007, 0.257], [0.500, 0.507, 0.743], [0.081, 0.750, 0.379], [0.914, 0.250, 0.084], [0.919, 0.250, 0.621], [0.500, 0.493, 0.257], [0.086, 0.750, 0.916], [0.500, 0.993, 0.743], [0.728, 0.250, 0.804], [0.272, 0.750, 0.196], [0.274, 0.250, 0.943], [0.754, 0.750, 0.563], [0.246, 0.250, 0.437], [0.726, 0.750, 0.057]]}

***

ii | {"formula": "Rb2CdI4", "functional": "GGA-PBE", "state": "optimized geometry", "dos_ef_per_ev_fu": 0.0, "m_tot_mub_per_cell": 0.00, "crystal_system": "tetragonal", "spacegroup": "I4/mmm, No. 139", "lattice_angstrom": [[-5.587, -1.562, -1.771], [2.170, -1.605, -5.432], [-0.315, -10.024, -0.551]], "species": ["Rb", "Rb", "I", "I", "I", "I", "Cd"], "frac_coords": [[0.365, 0.365, 0.270], [0.635, 0.635, 0.730], [0.500, 0.000, 0.000], [0.163, 0.163, 0.674], [0.000, 0.500, 0.000], [0.837, 0.837, 0.326], [0.000, 0.000, 0.000]]}

***

Going by the energies, i is most stable and the next is 0.060 eV/atom up.

***

i | {"formula": "Rb2CdI2", "functional": "GGA-PBE", "state": "optimized geometry", "dos_ef_per_ev_fu": 0.0, "m_tot_mub_per_cell": 0.00, "crystal_system": "tetragonal", "spacegroup": "I4/mmm, No. 139", "lattice_angstrom": [[-0.387, 5.662, 4.115], [-0.290, -4.131, 5.657], [6.464, 0.904, 5.335]], "species": ["I", "I", "Rb", "Rb", "Cd"], "frac_coords": [[0.312, 0.312, 0.375], [0.688, 0.688, 0.625], [0.750, 0.250, 0.500], [0.250, 0.750, 0.500], [0.000, 0.000, 0.000]]}

***

ii | {"formula": "Rb2CdI2", "functional": "GGA-PBE", "state": "optimized geometry", "dos_ef_per_ev_fu": 0.0, "m_tot_mub_per_cell": 0.00, "crystal_system": "tetragonal", "spacegroup": "P4/mbm, No. 127", "lattice_angstrom": [[-1.830, -8.951, 4.503], [-0.884, -4.416, -9.136], [4.539, -0.924, 0.008]], "species": ["Rb", "Rb", "Rb", "Rb", "Cd", "Cd", "I", "I", "I", "I"], "frac_coords": [[0.644, 0.144, 0.000], [0.356, 0.856, 0.000], [0.144, 0.356, 0.000], [0.856, 0.644, 0.000], [0.000, 0.000, 0.000], [0.500, 0.500, 0.000], [0.345, 0.155, 0.500], [0.655, 0.845, 0.500], [0.155, 0.655, 0.500], [0.845, 0.345, 0.500]]}

***

Going by the energies, ii is most stable and the next is 0.058 eV/atom up.

***

i | {"formula": "RbCdTe2I", "functional": "GGA-PBE", "state": "optimized geometry", "dos_ef_per_ev_fu": 8.0, "m_tot_mub_per_cell": 0.00, "crystal_system": "tetragonal", "spacegroup": "P4/mmm, No. 123", "lattice_angstrom": [[-5.039, 1.011, 2.351], [-1.312, -5.478, -0.456], [2.517, -1.091, 5.865]], "species": ["Rb", "Te", "Te", "Cd", "I"], "frac_coords": [[0.500, 0.500, 0.500], [0.500, 0.000, 0.000], [0.000, 0.500, 0.000], [0.000, 0.000, 0.000], [0.000, 0.000, 0.500]]}

***

ii | {"formula": "RbCdTe2I", "functional": "GGA-PBE", "state": "optimized geometry", "dos_ef_per_ev_fu": 5.2, "m_tot_mub_per_cell": 4.05, "crystal_system": "tetragonal", "spacegroup": "P4/mmm, No. 123", "lattice_angstrom": [[7.072, 0.000, 0.000], [0.000, 7.072, 0.000], [0.000, 0.000, 6.813]], "species": ["Rb", "Te", "Te", "Cd", "I"], "frac_coords": [[0.000, 0.000, 0.000], [0.000, 0.500, 0.000], [0.500, 0.000, 0.000], [0.500, 0.500, 0.500], [0.000, 0.000, 0.500]]}

***

Going by the energies, i is most stable and the next is 0.826 eV/atom up.

***

i | {"formula": "RbCdTeI2", "functional": "GGA-PBE", "state": "optimized geometry", "dos_ef_per_ev_fu": 4.5, "m_tot_mub_per_cell": 0.96, "crystal_system": "tetragonal", "spacegroup": "P4/mmm, No. 123", "lattice_angstrom": [[-5.769, 1.179, 1.827], [-2.119, -4.214, -3.970], [0.451, -4.005, 4.010]], "species": ["I", "I", "Cd", "Te", "Rb"], "frac_coords": [[0.500, 0.000, 0.000], [0.000, 0.500, 0.000], [0.000, 0.000, 0.000], [0.000, 0.000, 0.500], [0.500, 0.500, 0.500]]}

***

ii | {"formula": "RbCdTeI2", "functional": "GGA-PBE", "state": "optimized geometry", "dos_ef_per_ev_fu": 8.3, "m_tot_mub_per_cell": 3.09, "crystal_system": "tetragonal", "spacegroup": "P4/mmm, No. 123", "lattice_angstrom": [[6.946, 0.000, 0.000], [0.000, 6.946, 0.000], [0.000, 0.000, 7.112]], "species": ["Rb", "I", "I", "Te", "Cd"], "frac_coords": [[0.000, 0.000, 0.000], [0.000, 0.500, 0.000], [0.500, 0.000, 0.000], [0.000, 0.000, 0.500], [0.500, 0.500, 0.500]]}

***

Going by the energies, i is most stable and the next is 0.763 eV/atom up.

***

i | {"formula": "Rb2ZnCdI6", "functional": "GGA-PBE", "state": "optimized geometry", "dos_ef_per_ev_fu": 0.0, "m_tot_mub_per_cell": 0.00, "crystal_system": "triclinic", "spacegroup": "P1, No. 1", "lattice_angstrom": [[-0.309, -7.915, 2.802], [4.690, -2.316, 6.583], [-5.334, -1.145, 8.773]], "species": ["Rb", "Rb", "I", "I", "I", "I", "I", "I", "Cd", "Zn"], "frac_coords": [[0.026, 0.026, 0.921], [0.532, 0.532, 0.403], [0.714, 0.112, 0.707], [0.112, 0.466, 0.707], [0.466, 0.715, 0.707], [0.993, 0.589, 0.222], [0.590, 0.197, 0.221], [0.197, 0.993, 0.221], [0.769, 0.769, 0.693], [0.263, 0.262, 0.214]]}

***

ii | {"formula": "Rb2ZnCdI6", "functional": "GGA-PBE", "state": "optimized geometry", "dos_ef_per_ev_fu": 1.3, "m_tot_mub_per_cell": 0.00, "crystal_system": "cubic", "spacegroup": "Fm-3m, No. 225", "lattice_angstrom": [[8.333, 0.000, 0.000], [0.000, 8.333, 0.000], [4.167, 4.167, 5.891]], "species": ["I", "I", "I", "I", "I", "I", "Zn", "Cd", "Rb", "Rb"], "frac_coords": [[0.256, 0.744, 0.000], [0.256, 0.256, 0.488], [0.744, 0.256, 0.000], [0.744, 0.744, 0.000], [0.744, 0.744, 0.512], [0.256, 0.256, 0.000], [0.500, 0.500, 0.000], [0.000, 0.000, 0.000], [0.250, 0.750, 0.500], [0.750, 0.250, 0.500]]}

***

Going by the energies, i is most stable and the next is 0.084 eV/atom up.

***

i | {"formula": "CdRh2I2", "functional": "GGA-PBE", "state": "optimized geometry", "dos_ef_per_ev_fu": 7.1, "m_tot_mub_per_cell": 0.00, "crystal_system": "tetragonal", "spacegroup": "I4/mmm, No. 139", "lattice_angstrom": [[-3.162, -2.471, 0.383], [2.413, -2.853, 1.511], [-1.695, 0.187, 8.435]], "species": ["I", "I", "Rh", "Rh", "Cd"], "frac_coords": [[0.641, 0.641, 0.717], [0.359, 0.359, 0.283], [0.750, 0.250, 0.500], [0.250, 0.750, 0.500], [0.000, 0.000, 0.000]]}

***

ii | {"formula": "CdRh2I2", "functional": "GGA-PBE", "state": "optimized geometry", "dos_ef_per_ev_fu": 2.9, "m_tot_mub_per_cell": 0.00, "crystal_system": "tetragonal", "spacegroup": "P4/mbm, No. 127", "lattice_angstrom": [[-3.708, 6.346, 3.398], [-3.054, -4.849, 5.721], [2.752, 0.565, 1.948]], "species": ["Rh", "Rh", "Rh", "Rh", "I", "I", "I", "I", "Cd", "Cd"], "frac_coords": [[0.825, 0.325, 0.500], [0.175, 0.675, 0.500], [0.325, 0.175, 0.500], [0.675, 0.825, 0.500], [0.853, 0.647, 0.000], [0.353, 0.853, 0.000], [0.647, 0.147, 0.000], [0.147, 0.353, 0.000], [0.000, 0.000, 0.000], [0.500, 0.500, 0.000]]}

***

Going by the energies, i is most stable and the next is 0.268 eV/atom up.

***

i | {"formula": "CdSI", "functional": "GGA-PBE", "state": "optimized geometry", "m_tot_mub_per_cell": 0.00, "crystal_system": "monoclinic", "spacegroup": "C2/m, No. 12", "lattice_angstrom": [[3.878, 0.000, -1.225], [-1.540, 4.253, -4.874], [1.446, -0.169, 11.324]], "species": ["S", "S", "I", "I", "Cd", "Cd"], "frac_coords": [[0.952, 0.253, 0.903], [0.048, 0.747, 0.097], [0.677, 0.557, 0.354], [0.323, 0.443, 0.646], [0.342, 0.051, 0.684], [0.658, 0.949, 0.316]]}

***

ii | {"formula": "CdSI", "functional": "GGA-PBE", "state": "optimized geometry", "dos_ef_per_ev_fu": 1.2, "m_tot_mub_per_cell": 0.00, "crystal_system": "monoclinic", "spacegroup": "C2/c, No. 15", "lattice_angstrom": [[9.505, 0.000, 0.000], [-4.752, 8.890, 0.242], [0.000, -2.585, 7.086]], "species": ["I", "I", "I", "I", "I", "I", "S", "S", "S", "S", "S", "S", "Cd", "Cd", "Cd", "Cd", "Cd", "Cd"], "frac_coords": [[0.502, 0.833, 0.507], [0.498, 0.167, 0.493], [0.500, 0.500, 0.500], [0.331, 0.833, 0.007], [0.669, 0.167, 0.993], [0.000, 0.500, 0.000], [0.949, 0.603, 0.348], [0.155, 0.000, 0.750], [0.051, 0.397, 0.652], [0.345, 0.397, 0.152], [0.655, 0.603, 0.848], [0.845, 0.000, 0.250], [0.503, 0.328, 0.905], [0.000, 0.000, 0.000], [0.497, 0.672, 0.095], [0.176, 0.672, 0.595], [0.000, 0.000, 0.500], [0.824, 0.328, 0.405]]}

***

Going by the energies, i is most stable and the next is 0.207 eV/atom up.